CsY3Te | PBE-GGA | optimized geometry

Structure (POSCAR):
```
CsY3Te
1.0
-2.3437 0.5177 -5.4366
-2.0504 -5.5667 0.3538
-5.0617 2.0152 2.3740
Cs Y Te
1 3 1
Direct
0.5000 0.5000 0.5000
0.0000 0.0000 0.5000
0.5000 0.0000 0.0000
0.0000 0.5000 0.0000
0.0000 0.0000 0.0000
```

Summary:
- Energy above the most stable polymorph in this dataset: 0.00 eV/f.u.
- ΔE_f (raw): 0.1688 eV/atom

CsYTe2 | PBE-GGA | optimized geometry

Structure (POSCAR):
```
CsYTe2
1.0
4.5424 -0.0001 0.0002
-0.0040 9.3659 -0.0025
2.2689 1.1027 3.7778
Cs Te Y
1 2 1
Direct
0.5005 0.0108 0.9968
0.7294 0.6954 0.5412
0.9359 0.3159 0.1270
0.3325 0.5052 0.3345
```

Summary:
- ΔE_f (raw): -1.3931 eV/atom

CsYTe3 | PBE-GGA | optimized geometry

Structure (POSCAR):
```
CsYTe3
1.0
7.1861 0.0000 0.0000
0.0000 6.7348 0.0000
0.0000 0.0000 17.0009
Y Te Cs
4 12 4
Direct
0.5000 0.2500 0.0777
0.5000 0.7500 0.9223
0.0000 0.2500 0.0777
0.0000 0.7500 0.9223
0.2500 0.5457 0.8057
0.7500 0.4543 0.1943
0.2500 0.6130 0.0638
0.7500 0.3870 0.9362
0.2500 0.0457 0.1943
0.7500 0.8870 0.0638
0.2500 0.1130 0.9362
0.5000 0.7500 0.5048
0.5000 0.2500 0.4952
0.0000 0.7500 0.5048
0.7500 0.9543 0.8057
0.0000 0.2500 0.4952
0.7500 0.9698 0.3123
0.2500 0.0302 0.6877
0.7500 0.4698 0.6877
0.2500 0.5302 0.3123
```

Summary:
- Energy above the most stable polymorph in this dataset: 0.00 eV/f.u.
- ΔE_f (raw): -0.9828 eV/atom

CsYTe2 | PBE-GGA | optimized geometry

Structure (POSCAR):
```
CsYTe2
1.0
-4.3302 20.4573 -24.7114
-0.8024 -3.4207 -2.6912
-3.0942 -7.1263 9.9805
Te Y Cs
8 4 4
Direct
0.0916 0.2500 0.3614
0.4084 0.7500 0.1386
0.9084 0.7500 0.6386
0.5916 0.2500 0.8614
0.2157 0.7501 0.9574
0.2843 0.2501 0.5426
0.7157 0.7499 0.4574
0.7843 0.2499 0.0426
0.7849 0.2500 0.4713
0.2849 0.2500 0.9713
0.2151 0.7500 0.5287
0.7151 0.7500 0.0287
0.0709 0.2500 0.8276
0.4291 0.7500 0.6724
0.9291 0.7500 0.1724
0.5709 0.2500 0.3276
```

Summary:
- ΔE_f (raw): -1.3229 eV/atom

Cs2Y3Te6 | PBE-GGA | optimized geometry

Structure (POSCAR):
```
Cs2Y3Te6
1.0
7.2729 0.0000 2.1689
3.6365 6.5732 1.0844
-0.2382 0.0000 9.6699
Y Te Cs
3 6 2
Direct
0.0000 0.0000 0.0000
0.6675 0.6649 0.0000
0.3325 0.3351 0.0000
0.3973 0.6692 0.8084
0.9335 0.6692 0.1916
0.7279 0.0000 0.8092
0.6027 0.3308 0.1916
0.2721 0.0000 0.1908
0.0665 0.3308 0.8084
0.8336 0.3328 0.5000
0.1664 0.6672 0.5000
```

Summary:
- ΔE_f (raw): -1.3212 eV/atom

CsYTe2 | PBE-GGA | optimized geometry

Structure (POSCAR):
```
CsYTe2
1.0
-1.9728 -8.2286 -4.1590
0.3810 -4.3223 8.3709
-4.7173 -5.6014 2.6325
Y Te Cs
2 4 2
Direct
0.2500 0.7500 0.5000
0.7500 0.2500 0.5000
0.6654 0.8346 0.0000
0.3346 0.1654 0.0000
0.8346 0.3346 0.0000
0.1654 0.6654 0.0000
0.2500 0.2500 0.5000
0.7500 0.7500 0.5000
```

Summary:
- ΔE_f (raw): -1.2352 eV/atom

CsYTe2 | PBE-GGA | optimized geometry

Structure (POSCAR):
```
CsYTe2
1.0
-7.2963 4.7511 -0.7833
-6.5171 -11.2374 -7.4561
-1.8028 -2.0094 4.6042
Te Cs Y
8 4 4
Direct
0.3275 0.9626 0.0624
0.3429 0.2600 0.0625
0.8429 0.2400 0.0625
0.8275 0.5374 0.0624
0.6571 0.7400 0.5625
0.6725 0.0374 0.5624
0.1725 0.4626 0.5624
0.1571 0.7600 0.5625
0.6022 0.3703 0.5625
0.8978 0.8703 0.0625
0.1022 0.1297 0.5625
0.3978 0.6297 0.0625
0.5685 0.1161 0.0624
0.4315 0.8839 0.5624
0.0685 0.3839 0.0624
0.9315 0.6161 0.5624
```

Summary:
- ΔE_f (raw): -1.3154 eV/atom

CsYTe2 | PBE-GGA | optimized geometry

Structure (POSCAR):
```
CsYTe2
1.0
-0.2521 -4.7508 1.0225
4.3948 -0.6599 -1.9823
2.8372 1.1229 5.9164
Y Cs Te
1 1 2
Direct
0.0000 0.0000 0.5000
0.5000 0.5000 0.0000
0.0000 0.0000 0.0000
0.5000 0.5000 0.5000
```

Summary:
- ΔE_f (raw): -0.8285 eV/atom

CsYZnTe3 | PBE-GGA | optimized geometry

Structure (POSCAR):
```
CsYZnTe3
1.0
-3.0560 -1.5494 2.8202
4.3318 -7.3019 -2.8017
7.6232 1.1174 8.8743
Cs Te Zn Y
2 6 2 2
Direct
0.2518 0.5052 0.2500
0.7482 0.4948 0.7500
0.6182 0.2371 0.4412
0.3818 0.7629 0.9412
0.0605 0.1199 0.7500
0.9395 0.8801 0.2500
0.3818 0.7629 0.5588
0.6182 0.2371 0.0588
0.4649 0.9281 0.7500
0.5351 0.0719 0.2500
0.0000 0.0000 0.5000
0.0000 0.0000 0.0000
```

Summary:
- ΔE_f (raw): -1.1142 eV/atom

CsYZnTe3 | PBE-GGA | optimized geometry

Structure (POSCAR):
```
CsYZnTe3
1.0
-1.1020 -2.7895 3.2843
8.1743 3.2194 5.4770
-8.9381 5.9688 2.0706
Zn Te Y Cs
2 6 2 2
Direct
0.7500 0.9171 0.3911
0.2500 0.0829 0.6089
0.2500 0.1185 0.8609
0.2500 0.5247 0.8374
0.7500 0.4753 0.1626
0.2500 0.8009 0.4564
0.7500 0.1991 0.5436
0.7500 0.8815 0.1391
0.2500 0.6699 0.1371
0.7500 0.3301 0.8629
0.7500 0.7835 0.7546
0.2500 0.2165 0.2454
```

Summary:
- ΔE_f (raw): -1.0946 eV/atom

Cs2YZn2Te4 | PBE-GGA | optimized geometry

Structure (POSCAR):
```
Cs2YZn2Te4
1.0
4.7984 0.0000 0.0000
-2.3992 8.3241 0.0575
0.0000 -2.8387 8.2879
Te Cs Y Zn
4 2 1 2
Direct
0.1978 0.3955 0.1554
0.4860 0.9721 0.2266
0.5140 0.0279 0.7734
0.8022 0.6045 0.8446
0.8661 0.7322 0.4333
0.1339 0.2678 0.5667
0.0000 0.0000 0.0000
0.6730 0.3460 0.9955
0.3270 0.6540 0.0045
```

Summary:
- ΔE_f (raw): -0.8897 eV/atom

Cs3ZnTe2 | PBE-GGA | optimized geometry

Structure (POSCAR):
```
Cs3ZnTe2
1.0
-1.0977 -8.4049 2.0053
9.5218 -0.5642 2.8475
-6.3380 6.5563 5.0930
Zn Cs Te
2 6 4
Direct
0.0000 0.0000 0.0000
0.0000 0.5000 0.0000
0.2287 0.4787 0.4574
0.2287 0.9787 0.4574
0.5000 0.7500 0.0000
0.5000 0.2500 0.0000
0.7713 0.5213 0.5426
0.7713 0.0213 0.5426
0.6447 0.3854 0.7708
0.3553 0.6146 0.2292
0.8739 0.1146 0.2292
0.1261 0.8854 0.7708
```

Summary:
- ΔE_f (raw): -0.6425 eV/atom

The lowest ΔE_f (raw) belongs to which entry?
number 2

What is the formula in the ninth record?
CsYZnTe3

ΔE_f (raw) of number 7 (CsYTe2)?
-1.3154 eV/atom